# 1
{
  "formula": "TbHg3Pd7",
  "functional": "PBE-GGA",
  "state": "optimized geometry",
  "dft_energy_ev_per_atom": -3.983,
  "ef_ev_per_fu": -1.93,
  "cell": [[-2.035, -3.298, -3.758], [6.243, 3.510, -1.331], [3.940, -2.798, 5.451]],
  "species": ["Pd", "Pd", "Pd", "Pd", "Pd", "Pd", "Pd", "Hg", "Hg", "Hg", "Tb"],
  "frac_coords": [[0.325, 0.581, 0.063], [0.383, 0.212, 0.212], [0.675, 0.937, 0.419], [0.000, 0.500, 0.500], [0.617, 0.788, 0.788], [0.675, 0.419, 0.937], [0.325, 0.063, 0.581], [0.000, 0.217, 0.783], [0.500, 0.000, 0.000], [0.000, 0.783, 0.217], [0.500, 0.500, 0.500]]
}

=====

# 2
{
  "formula": "Na2LiCd3Sn4",
  "functional": "PBE-GGA",
  "state": "optimized geometry",
  "dft_energy_ev_per_atom": -2.445,
  "ef_ev_per_fu": -1.15,
  "cell": [[-1.725, -0.629, -4.138], [-0.568, -4.399, 0.905], [-12.168, 2.536, 4.688]],
  "species": ["Sn", "Sn", "Sn", "Sn", "Cd", "Cd", "Cd", "Na", "Na", "Li"],
  "frac_coords": [[0.000, 0.000, 0.000], [0.500, 0.500, 0.000], [0.500, 0.000, 0.636], [0.000, 0.500, 0.364], [0.000, 0.000, 0.500], [0.500, 0.000, 0.846], [0.000, 0.500, 0.154], [0.500, 0.000, 0.270], [0.000, 0.500, 0.730], [0.500, 0.500, 0.500]]
}

=====

# 3
{
  "formula": "K2NdOsO6",
  "functional": "PBE-GGA",
  "state": "optimized geometry",
  "dft_energy_ev_per_atom": -6.671,
  "e_form_raw_ev_per_atom": -1.8769,
  "cell": [[6.013, 0.000, 0.000], [0.000, 6.014, 0.000], [0.000, 0.000, 8.504]],
  "species": ["O", "O", "O", "O", "O", "O", "O", "O", "O", "O", "O", "O", "Os", "Os", "K", "K", "K", "K", "Nd", "Nd"],
  "frac_coords": [[0.276, 0.473, 0.500], [0.224, 0.527, 0.000], [0.776, 0.527, 0.000], [0.000, 0.750, 0.776], [0.724, 0.026, 0.500], [0.224, 0.974, 0.000], [0.500, 0.250, 0.724], [0.724, 0.473, 0.500], [0.500, 0.250, 0.276], [0.000, 0.750, 0.224], [0.776, 0.974, 0.000], [0.276, 0.026, 0.500], [0.000, 0.750, 0.000], [0.500, 0.250, 0.500], [0.000, 0.250, 0.750], [0.000, 0.250, 0.250], [0.500, 0.750, 0.250], [0.500, 0.750, 0.750], [0.000, 0.750, 0.500], [0.500, 0.250, 0.000]]
}

=====

Copy entry 1 word for word.
{
  "formula": "TbHg3Pd7",
  "functional": "PBE-GGA",
  "state": "optimized geometry",
  "dft_energy_ev_per_atom": -3.983,
  "ef_ev_per_fu": -1.93,
  "cell": [[-2.035, -3.298, -3.758], [6.243, 3.510, -1.331], [3.940, -2.798, 5.451]],
  "species": ["Pd", "Pd", "Pd", "Pd", "Pd", "Pd", "Pd", "Hg", "Hg", "Hg", "Tb"],
  "frac_coords": [[0.325, 0.581, 0.063], [0.383, 0.212, 0.212], [0.675, 0.937, 0.419], [0.000, 0.500, 0.500], [0.617, 0.788, 0.788], [0.675, 0.419, 0.937], [0.325, 0.063, 0.581], [0.000, 0.217, 0.783], [0.500, 0.000, 0.000], [0.000, 0.783, 0.217], [0.500, 0.500, 0.500]]
}

=====

Which formula does entry 1 have? TbHg3Pd7

=====

Repeat the first record exactly.
{
  "formula": "TbHg3Pd7",
  "functional": "PBE-GGA",
  "state": "optimized geometry",
  "dft_energy_ev_per_atom": -3.983,
  "ef_ev_per_fu": -1.93,
  "cell": [[-2.035, -3.298, -3.758], [6.243, 3.510, -1.331], [3.940, -2.798, 5.451]],
  "species": ["Pd", "Pd", "Pd", "Pd", "Pd", "Pd", "Pd", "Hg", "Hg", "Hg", "Tb"],
  "frac_coords": [[0.325, 0.581, 0.063], [0.383, 0.212, 0.212], [0.675, 0.937, 0.419], [0.000, 0.500, 0.500], [0.617, 0.788, 0.788], [0.675, 0.419, 0.937], [0.325, 0.063, 0.581], [0.000, 0.217, 0.783], [0.500, 0.000, 0.000], [0.000, 0.783, 0.217], [0.500, 0.500, 0.500]]
}